(1)
! Cd2In4Sn2Hg3 | Alexandria | PBE | relaxed; values from VASP
! Total magnetic moment: 0.000 μB per cell
! E: -20.783 eV/cell
! Mass density: 8.146 g/cm³
! SG: P-3m1, No. 164
&SYSTEM
  ibrav = 0, nat = 11, ntyp = 4
/
ATOMIC_SPECIES
Cd 112.41 Cd.upf
In 114.82 In.upf
Sn 118.71 Sn.upf
Hg 200.59 Hg.upf
CELL_PARAMETERS angstrom
4.8684 0.0000 0.0000
-2.4342 4.2162 0.0000
0.0000 0.0000 15.1283
ATOMIC_POSITIONS crystal
Cd 0.3333 0.6667 0.1583
Cd 0.6667 0.3333 0.8417
In 0.3333 0.6667 0.3566
In 0.3333 0.6667 0.9150
In 0.6667 0.3333 0.0850
In 0.6667 0.3333 0.6434
Sn 0.3333 0.6667 0.5689
Sn 0.6667 0.3333 0.4311
Hg 0.0000 0.0000 0.0000
Hg 0.0000 0.0000 0.2553
Hg 0.0000 0.0000 0.7447

(2)
! Cd6In2SnHg2 | Alexandria | PBE | relaxed; values from VASP
! Total magnetic moment: 0.000 μB per cell
! E: -15.104 eV/cell
! Mass density: 8.516 g/cm³
! SG: P-1, No. 2
&SYSTEM
  ibrav = 0, nat = 11, ntyp = 4
/
ATOMIC_SPECIES
Cd 112.41 Cd.upf
In 114.82 In.upf
Sn 118.71 Sn.upf
Hg 200.59 Hg.upf
CELL_PARAMETERS angstrom
5.8105 0.0000 0.0000
-0.9355 7.1076 0.0000
-1.7451 -2.0314 6.7230
ATOMIC_POSITIONS crystal
Cd 0.1161 0.4880 0.3212
Cd 0.1939 0.1599 0.9582
Cd 0.3793 0.4312 0.7198
Cd 0.6207 0.5688 0.2802
Cd 0.8061 0.8401 0.0418
Cd 0.8839 0.5120 0.6788
In 0.4965 0.8537 0.6281
In 0.5035 0.1463 0.3719
Sn 0.0000 0.0000 0.5000
Hg 0.2829 0.7586 0.0369
Hg 0.7171 0.2414 0.9631

(3)
! CdIn4Sn2Hg | Alexandria | PBE | relaxed; values from VASP
! Total magnetic moment: 0.000 μB per cell
! E: -39.338 eV/cell
! Mass density: 7.638 g/cm³
! SG: Imma, No. 74
&SYSTEM
  ibrav = 0, nat = 16, ntyp = 4
/
ATOMIC_SPECIES
Cd 112.41 Cd.upf
In 114.82 In.upf
Sn 118.71 Sn.upf
Hg 200.59 Hg.upf
CELL_PARAMETERS angstrom
-3.3400 5.3557 6.1355
3.3400 -5.3557 6.1355
3.3400 5.3557 -6.1355
ATOMIC_POSITIONS crystal
Cd 0.5000 0.0000 0.0000
Cd 0.5000 0.5000 0.5000
In 0.2474 0.2475 0.9999
In 0.2483 0.2518 0.5035
In 0.2483 0.7448 0.9965
In 0.2524 0.7525 0.4999
In 0.7476 0.2475 0.5001
In 0.7517 0.2552 0.0035
In 0.7517 0.7482 0.4965
In 0.7526 0.7525 0.0001
Sn 0.0000 0.0000 0.0000
Sn 0.0000 0.0000 0.5000
Sn 0.0000 0.5000 0.0000
Sn 0.5000 0.0000 0.5000
Hg 0.0000 0.5000 0.5000
Hg 0.5000 0.5000 0.0000

(4)
! CdIn5SnHg2 | Alexandria | PBE | relaxed; values from VASP
! Total magnetic moment: 0.000 μB per cell
! E: -38.084 eV/cell
! Mass density: 8.501 g/cm³
! SG: Cmc2_1, No. 36
&SYSTEM
  ibrav = 0, nat = 18, ntyp = 4
/
ATOMIC_SPECIES
Cd 112.41 Cd.upf
In 114.82 In.upf
Sn 118.71 Sn.upf
Hg 200.59 Hg.upf
CELL_PARAMETERS angstrom
2.3079 -7.3448 0.0000
2.3079 7.3448 0.0000
0.0000 0.0000 13.9009
ATOMIC_POSITIONS crystal
Cd 0.2473 0.7527 0.5000
Cd 0.7527 0.2473 0.0000
In 0.0773 0.9227 0.6663
In 0.2451 0.7549 0.8358
In 0.2532 0.7468 0.1663
In 0.4116 0.5884 0.6641
In 0.4206 0.5794 0.3393
In 0.5794 0.4206 0.8393
In 0.5884 0.4116 0.1641
In 0.7468 0.2532 0.6663
In 0.7549 0.2451 0.3358
In 0.9227 0.0773 0.1663
Sn 0.4117 0.5883 0.9967
Sn 0.5883 0.4117 0.4967
Hg 0.0867 0.9133 0.3312
Hg 0.0882 0.9118 0.0017
Hg 0.9118 0.0882 0.5017
Hg 0.9133 0.0867 0.8312

(5)
! CdIn2SnHg | Alexandria | PBE | relaxed; values from VASP
! Total magnetic moment: 0.000 μB per cell
! E: -20.891 eV/cell
! Mass density: 8.072 g/cm³
! SG: Cmcm, No. 63
&SYSTEM
  ibrav = 0, nat = 10, ntyp = 4
/
ATOMIC_SPECIES
Cd 112.41 Cd.upf
In 114.82 In.upf
Sn 118.71 Sn.upf
Hg 200.59 Hg.upf
CELL_PARAMETERS angstrom
1.6351 -8.4443 0.0000
1.6351 8.4443 0.0000
0.0000 0.0000 9.8541
ATOMIC_POSITIONS crystal
Cd 0.0000 0.0000 0.0000
Cd 0.0000 0.0000 0.5000
In 0.1735 0.8265 0.5833
In 0.1735 0.8265 0.9167
In 0.8265 0.1735 0.0833
In 0.8265 0.1735 0.4167
Sn 0.1813 0.8187 0.2500
Sn 0.8187 0.1813 0.7500
Hg 0.4929 0.5071 0.7500
Hg 0.5071 0.4929 0.2500

(6)
! CdIn4SnHg2 | Alexandria | PBE | relaxed; values from VASP
! Total magnetic moment: 0.000 μB per cell
! E: -32.217 eV/cell
! Mass density: 8.289 g/cm³
! SG: C2/c, No. 15
&SYSTEM
  ibrav = 0, nat = 16, ntyp = 4
/
ATOMIC_SPECIES
Cd 112.41 Cd.upf
In 114.82 In.upf
Sn 118.71 Sn.upf
Hg 200.59 Hg.upf
CELL_PARAMETERS angstrom
6.3473 -6.1309 0.0000
6.3473 6.1309 0.0000
-3.3951 0.0000 5.6193
ATOMIC_POSITIONS crystal
Cd 0.0000 0.0000 0.0000
Cd 0.0000 0.0000 0.5000
In 0.2475 0.2503 0.9979
In 0.2503 0.2475 0.4979
In 0.2514 0.7486 0.5035
In 0.2514 0.7486 0.9965
In 0.7486 0.2514 0.0035
In 0.7486 0.2514 0.4965
In 0.7497 0.7525 0.5021
In 0.7525 0.7497 0.0021
Sn 0.0000 0.5000 0.0000
Sn 0.5000 0.0000 0.5000
Hg 0.0000 0.5000 0.5000
Hg 0.5000 0.0000 0.0000
Hg 0.5000 0.5000 0.0000
Hg 0.5000 0.5000 0.5000